Entry 1:
La2TeOs | PBEsol | relaxed

Lattice parameters (Å, degrees): 4.328 4.328 6.453 90.00 90.00 90.00
Atoms (fractional coordinates):
La  0.000  0.000  0.000
La  0.500  0.500  0.393
Te  0.500  0.500  0.886
Os  0.000  0.000  0.382

Calculated values
The symmetry is P4mm. The density is 8.2 g/cm³. The total energy comes out at -28.4 eV per formula unit. The uncorrected formation energy comes out at -500 meV per atom.

---

Entry 2:
La2TeOs | PBEsol | relaxed

Lattice parameters (Å, degrees): 6.049 6.049 6.049 137.94 137.94 60.99
Atoms (fractional coordinates):
La  0.000  0.000  0.000
La  0.750  0.250  0.500
Te  0.250  0.750  0.500
Os  0.500  0.500  0.000

Calculated values
The symmetry is I-4m2. The density is 10.1 g/cm³. The total energy comes out at -27.7 eV per formula unit. The uncorrected formation energy comes out at -322 meV per atom.

---

Entry 3:
La2ZrTiOs | PBEsol | relaxed

Lattice parameters (Å, degrees): 5.357 5.357 4.534 90.00 90.00 90.00
Atoms (fractional coordinates):
La  0.000  0.500  0.000
La  0.500  0.000  0.000
Zr  0.000  0.000  0.000
Ti  0.000  0.000  0.500
Os  0.500  0.500  0.500

Calculated values
The symmetry is P4/mmm. The density is 7.7 g/cm³. The total energy comes out at -33.0 eV per formula unit. The energy relative to the elements comes out at 7.30 eV/f.u.

---

Entry 4:
LaTl2Os | PBEsol | relaxed

Lattice parameters (Å, degrees): 5.214 5.214 5.214 124.80 124.80 81.88
Atoms (fractional coordinates):
La  0.000  0.000  0.000
Tl  0.250  0.750  0.500
Tl  0.500  0.500  0.000
Os  0.750  0.250  0.500

Calculated values
The symmetry is I-4m2. The density is 13.3 g/cm³. The total energy comes out at -21.3 eV per formula unit. The excess energy over the best structure of this formula in the dataset comes out at 2.97 kcal/mol of atoms. The energy relative to the elements comes out at 1.56 eV/f.u.

---

Entry 5:
LaTl2Os | PBEsol | relaxed

Lattice parameters (Å, degrees): 5.003 5.003 5.003 60.00 60.00 60.00
Atoms (fractional coordinates):
La  0.000  0.000  0.000
Tl  0.250  0.250  0.250
Tl  0.750  0.750  0.750
Os  0.500  0.500  0.500

Calculated values
The symmetry is Fm-3m. The density is 13.8 g/cm³. The total energy comes out at -21.8 eV per formula unit. The excess energy over the best structure of this formula in the dataset comes out at 0.00 kcal/mol of atoms. The energy relative to the elements comes out at 1.04 eV/f.u.

---

Entry 6:
La2TlOs | PBEsol | relaxed

Lattice parameters (Å, degrees): 3.422 3.422 8.856 90.00 90.00 90.00
Atoms (fractional coordinates):
La  0.000  0.000  0.200
La  0.000  0.000  0.800
Tl  0.500  0.500  0.500
Os  0.500  0.500  0.000

Calculated values
The symmetry is P4/mmm. The density is 10.8 g/cm³. The total energy comes out at -26.3 eV per formula unit. The energy relative to the elements comes out at -0.74 eV/f.u.

---

> What is the formula in the third record?

La2ZrTiOs

---

> What is the formula in the second record?

La2TeOs

---

> What is the formula in the sixth record?

La2TlOs